Version a
Crystalline HoSn2Bi at its relaxed geometry, computed with GGA-PBE. Values from VASP.

Cell and atoms, written as Quantum ESPRESSO input:
```
&SYSTEM
  ibrav = 0, nat = 4, ntyp = 3
/
ATOMIC_SPECIES
Bi 208.98 Bi.upf
Sn 118.71 Sn.upf
Ho 164.93 Ho.upf
CELL_PARAMETERS angstrom
-2.584 4.019 1.199
-2.929 -0.798 -3.637
-2.773 -2.621 2.808
ATOMIC_POSITIONS crystal
Bi 0.500 0.000 0.000
Sn 0.000 0.000 0.500
Sn 0.000 0.500 0.000
Ho 0.500 0.500 0.500
```

Summary:
volume: 27.64 Å³ per atom
N(E_F): 0.67 states/eV/atom
symmetry: P4/mmm (123)

Version b
Crystalline HoSn2Bi at its relaxed geometry, computed with GGA-PBE. Values from VASP.

Cell and atoms, written as Quantum ESPRESSO input:
```
&SYSTEM
  ibrav = 0, nat = 4, ntyp = 3
/
ATOMIC_SPECIES
Bi 208.98 Bi.upf
Sn 118.71 Sn.upf
Ho 164.93 Ho.upf
CELL_PARAMETERS angstrom
-0.791 4.859 1.119
-1.653 1.296 4.591
6.561 2.681 4.381
ATOMIC_POSITIONS crystal
Bi 0.000 0.000 0.000
Sn 0.123 0.123 0.632
Sn 0.877 0.877 0.368
Ho 0.500 0.500 0.500
```

Summary:
volume: 43.08 Å³ per atom
N(E_F): 0.71 states/eV/atom
symmetry: R-3m (166)

Name the most stable of them. version a.

Version a
Crystalline SrHoBi2 at its relaxed geometry, computed with GGA-PBE. Values from VASP.

Cell and atoms, written as Quantum ESPRESSO input:
```
&SYSTEM
  ibrav = 0, nat = 4, ntyp = 3
/
ATOMIC_SPECIES
Sr 87.62 Sr.upf
Ho 164.93 Ho.upf
Bi 208.98 Bi.upf
CELL_PARAMETERS angstrom
4.520 0.001 0.022
2.236 3.928 0.022
2.236 1.300 8.009
ATOMIC_POSITIONS crystal
Sr 0.500 0.500 0.500
Ho 0.000 0.000 0.000
Bi 0.742 0.742 0.775
Bi 0.258 0.258 0.225
```

Summary:
volume: 35.47 Å³ per atom
N(E_F): 0.60 states/eV/atom
symmetry: C2/m (12)

Version b
Crystalline SrHoBi2 at its relaxed geometry, computed with GGA-PBE. Values from VASP.

Cell and atoms, written as Quantum ESPRESSO input:
```
&SYSTEM
  ibrav = 0, nat = 4, ntyp = 3
/
ATOMIC_SPECIES
Sr 87.62 Sr.upf
Ho 164.93 Ho.upf
Bi 208.98 Bi.upf
CELL_PARAMETERS angstrom
4.744 0.000 0.000
2.372 4.109 0.000
2.372 1.370 7.551
ATOMIC_POSITIONS crystal
Sr 0.669 0.669 0.992
Ho 0.497 0.497 0.509
Bi 0.092 0.092 0.725
Bi 0.242 0.242 0.275
```

Summary:
volume: 36.80 Å³ per atom
N(E_F): 0.89 states/eV/atom
symmetry: R3m (160)

Version c
Crystalline SrHoBi2 at its relaxed geometry, computed with GGA-PBE. Values from VASP.

Cell and atoms, written as Quantum ESPRESSO input:
```
&SYSTEM
  ibrav = 0, nat = 4, ntyp = 3
/
ATOMIC_SPECIES
Sr 87.62 Sr.upf
Bi 208.98 Bi.upf
Ho 164.93 Ho.upf
CELL_PARAMETERS angstrom
-2.277 1.497 2.222
3.287 -1.919 4.661
3.196 5.096 -0.156
ATOMIC_POSITIONS crystal
Sr 0.500 0.500 0.500
Bi 0.000 0.000 0.500
Bi 0.000 0.500 0.000
Ho 0.500 0.000 0.000
```

Summary:
volume: 31.83 Å³ per atom
N(E_F): 0.46 states/eV/atom
symmetry: P4/mmm (123)

Name the most stable of them. version a.

Version a
Crystalline Tb2HoBi at its relaxed geometry, computed with GGA-PBE. Values from VASP.

Cell and atoms, written as Quantum ESPRESSO input:
```
&SYSTEM
  ibrav = 0, nat = 4, ntyp = 3
/
ATOMIC_SPECIES
Tb 158.93 Tb.upf
Bi 208.98 Bi.upf
Ho 164.93 Ho.upf
CELL_PARAMETERS angstrom
4.211 0.000 0.000
0.000 4.211 0.000
0.000 0.000 6.768
ATOMIC_POSITIONS crystal
Tb 0.000 0.000 0.740
Tb 0.000 0.000 0.260
Bi 0.500 0.500 0.500
Ho 0.500 0.500 0.000
```

Summary:
volume: 30.00 Å³ per atom
N(E_F): 1.09 states/eV/atom
symmetry: P4/mmm (123)

Version b
Crystalline Tb2HoBi at its relaxed geometry, computed with GGA-PBE. Values from VASP.

Cell and atoms, written as Quantum ESPRESSO input:
```
&SYSTEM
  ibrav = 0, nat = 4, ntyp = 3
/
ATOMIC_SPECIES
Tb 158.93 Tb.upf
Ho 164.93 Ho.upf
Bi 208.98 Bi.upf
CELL_PARAMETERS angstrom
4.039 0.000 0.000
2.019 3.498 0.000
2.019 1.166 9.522
ATOMIC_POSITIONS crystal
Tb 0.071 0.071 0.787
Tb 0.262 0.262 0.213
Ho 0.500 0.500 0.499
Bi 0.666 0.666 0.001
```

Summary:
volume: 33.62 Å³ per atom
N(E_F): 1.36 states/eV/atom
symmetry: R3m (160)

Version c
Crystalline Tb2HoBi at its relaxed geometry, computed with GGA-PBE. Values from VASP.

Cell and atoms, written as Quantum ESPRESSO input:
```
&SYSTEM
  ibrav = 0, nat = 8, ntyp = 3
/
ATOMIC_SPECIES
Tb 158.93 Tb.upf
Ho 164.93 Ho.upf
Bi 208.98 Bi.upf
CELL_PARAMETERS angstrom
-0.751 -4.480 0.933
1.705 0.596 4.231
-10.026 4.785 3.365
ATOMIC_POSITIONS crystal
Tb 0.562 0.250 0.124
Tb 0.438 0.750 0.876
Tb 0.060 0.750 0.119
Tb 0.940 0.250 0.881
Ho 0.692 0.750 0.382
Ho 0.308 0.250 0.618
Bi 0.172 0.250 0.341
Bi 0.828 0.750 0.659
```

Summary:
volume: 30.33 Å³ per atom
N(E_F): 1.01 states/eV/atom
symmetry: P2_1/m (11)

Version d
Crystalline Tb2HoBi at its relaxed geometry, computed with GGA-PBE. Values from VASP.

Cell and atoms, written as Quantum ESPRESSO input:
```
&SYSTEM
  ibrav = 0, nat = 4, ntyp = 3
/
ATOMIC_SPECIES
Tb 158.93 Tb.upf
Bi 208.98 Bi.upf
Ho 164.93 Ho.upf
CELL_PARAMETERS angstrom
-0.539 -1.935 -2.908
-2.713 -2.262 -0.140
-8.105 7.302 -5.505
ATOMIC_POSITIONS crystal
Tb 0.088 0.088 0.737
Tb 0.912 0.912 0.263
Bi 0.000 0.000 0.000
Ho 0.500 0.500 0.500
```

Summary:
volume: 32.59 Å³ per atom
N(E_F): 1.12 states/eV/atom
symmetry: R-3m (166)

Name the most stable of them. version c.

Version a
Crystalline TbHoBi2 at its relaxed geometry, computed with GGA-PBE. Values from VASP.

Cell and atoms, written as Quantum ESPRESSO input:
```
&SYSTEM
  ibrav = 0, nat = 8, ntyp = 3
/
ATOMIC_SPECIES
Tb 158.93 Tb.upf
Ho 164.93 Ho.upf
Bi 208.98 Bi.upf
CELL_PARAMETERS angstrom
4.473 0.000 0.000
0.000 6.323 0.000
0.000 0.000 8.948
ATOMIC_POSITIONS crystal
Tb 0.500 0.000 0.625
Tb 0.000 0.500 0.375
Ho 0.000 0.500 0.875
Ho 0.500 0.000 0.125
Bi 0.000 0.000 0.877
Bi 0.000 0.000 0.373
Bi 0.500 0.500 0.627
Bi 0.500 0.500 0.123
```

Summary:
volume: 31.64 Å³ per atom
N(E_F): 0.15 states/eV/atom
symmetry: Pmmn (59)

Version b
Crystalline TbHoBi2 at its relaxed geometry, computed with GGA-PBE. Values from VASP.

Cell and atoms, written as Quantum ESPRESSO input:
```
&SYSTEM
  ibrav = 0, nat = 4, ntyp = 3
/
ATOMIC_SPECIES
Tb 158.93 Tb.upf
Ho 164.93 Ho.upf
Bi 208.98 Bi.upf
CELL_PARAMETERS angstrom
4.440 0.000 0.000
2.220 3.845 0.000
2.220 1.282 7.586
ATOMIC_POSITIONS crystal
Tb 0.498 0.498 0.505
Ho 0.669 0.669 0.994
Bi 0.081 0.081 0.757
Bi 0.252 0.252 0.244
```

Summary:
volume: 32.37 Å³ per atom
N(E_F): 0.13 states/eV/atom
symmetry: R3m (160)

Name the most stable of them. version a.

Version a
Crystalline Ho2ThBi at its relaxed geometry, computed with GGA-PBE. Values from VASP.

Cell and atoms, written as Quantum ESPRESSO input:
```
&SYSTEM
  ibrav = 0, nat = 4, ntyp = 3
/
ATOMIC_SPECIES
Bi 208.98 Bi.upf
Th 232.04 Th.upf
Ho 164.93 Ho.upf
CELL_PARAMETERS angstrom
-4.237 1.939 -0.797
-2.206 -4.175 1.572
-0.059 1.781 4.647
ATOMIC_POSITIONS crystal
Bi 0.500 0.500 0.500
Th 0.500 0.000 0.000
Ho 0.000 0.000 0.500
Ho 0.000 0.500 0.000
```

Summary:
volume: 29.27 Å³ per atom
N(E_F): 0.93 states/eV/atom
symmetry: P4/mmm (123)

Version b
Crystalline Ho2ThBi at its relaxed geometry, computed with GGA-PBE. Values from VASP.

Cell and atoms, written as Quantum ESPRESSO input:
```
&SYSTEM
  ibrav = 0, nat = 4, ntyp = 3
/
ATOMIC_SPECIES
Bi 208.98 Bi.upf
Th 232.04 Th.upf
Ho 164.93 Ho.upf
CELL_PARAMETERS angstrom
3.966 0.000 0.000
0.000 3.966 0.000
0.000 0.000 7.510
ATOMIC_POSITIONS crystal
Bi 0.500 0.500 0.500
Th 0.500 0.500 0.000
Ho 0.000 0.000 0.725
Ho 0.000 0.000 0.275
```

Summary:
volume: 29.53 Å³ per atom
N(E_F): 1.01 states/eV/atom
symmetry: P4/mmm (123)

Version c
Crystalline Ho2ThBi at its relaxed geometry, computed with GGA-PBE. Values from VASP.

Cell and atoms, written as Quantum ESPRESSO input:
```
&SYSTEM
  ibrav = 0, nat = 4, ntyp = 3
/
ATOMIC_SPECIES
Ho 164.93 Ho.upf
Th 232.04 Th.upf
Bi 208.98 Bi.upf
CELL_PARAMETERS angstrom
3.608 0.000 0.000
1.804 3.124 0.000
1.804 1.041 10.922
ATOMIC_POSITIONS crystal
Ho 0.079 0.079 0.762
Ho 0.254 0.254 0.237
Th 0.500 0.500 0.500
Bi 0.667 0.667 0.000
```

Summary:
volume: 30.78 Å³ per atom
N(E_F): 1.63 states/eV/atom
symmetry: R3m (160)

Version d
Crystalline Ho2ThBi at its relaxed geometry, computed with GGA-PBE. Values from VASP.

Cell and atoms, written as Quantum ESPRESSO input:
```
&SYSTEM
  ibrav = 0, nat = 4, ntyp = 3
/
ATOMIC_SPECIES
Bi 208.98 Bi.upf
Th 232.04 Th.upf
Ho 164.93 Ho.upf
CELL_PARAMETERS angstrom
-1.212 -3.417 0.081
1.285 -2.322 2.472
-7.771 1.013 7.651
ATOMIC_POSITIONS crystal
Bi 0.000 0.000 0.000
Th 0.500 0.500 0.500
Ho 0.253 0.253 0.240
Ho 0.747 0.747 0.760
```

Summary:
volume: 30.61 Å³ per atom
N(E_F): 1.05 states/eV/atom
symmetry: R-3m (166)

Name the most stable of them. version b.

Version a
Crystalline Ho6Tl5Bi at its relaxed geometry, computed with GGA-PBE. Values from VASP.

Cell and atoms, written as Quantum ESPRESSO input:
```
&SYSTEM
  ibrav = 0, nat = 12, ntyp = 3
/
ATOMIC_SPECIES
Tl 204.38 Tl.upf
Ho 164.93 Ho.upf
Bi 208.98 Bi.upf
CELL_PARAMETERS angstrom
5.243 0.000 -1.467
-3.953 7.495 -4.052
-0.216 -1.254 9.306
ATOMIC_POSITIONS crystal
Tl 0.500 0.172 0.828
Tl 0.000 0.336 0.664
Tl 0.500 0.500 0.500
Tl 0.000 0.664 0.336
Tl 0.500 0.828 0.172
Ho 0.249 0.082 0.416
Ho 0.751 0.584 0.918
Ho 0.748 0.248 0.248
Ho 0.252 0.752 0.752
Ho 0.249 0.416 0.082
Ho 0.751 0.918 0.584
Bi 0.000 0.000 0.000
```

Summary:
volume: 27.45 Å³ per atom
N(E_F): 0.70 states/eV/atom
symmetry: C2/m (12)

Version b
Crystalline Ho6Tl5Bi at its relaxed geometry, computed with GGA-PBE. Values from VASP.

Cell and atoms, written as Quantum ESPRESSO input:
```
&SYSTEM
  ibrav = 0, nat = 12, ntyp = 3
/
ATOMIC_SPECIES
Ho 164.93 Ho.upf
Tl 204.38 Tl.upf
Bi 208.98 Bi.upf
CELL_PARAMETERS angstrom
-3.751 6.403 -6.599
-1.642 -1.615 -4.488
-7.754 -1.864 0.672
ATOMIC_POSITIONS crystal
Ho 0.746 0.087 0.334
Ho 0.254 0.580 0.334
Ho 0.253 0.247 0.000
Ho 0.747 0.753 0.000
Ho 0.746 0.420 0.666
Ho 0.254 0.913 0.666
Tl 0.500 0.167 0.667
Tl 0.000 0.328 0.345
Tl 0.500 0.500 0.000
Tl 0.000 0.672 0.655
Tl 0.500 0.833 0.333
Bi 0.000 0.000 0.000
```

Summary:
volume: 27.32 Å³ per atom
N(E_F): 0.79 states/eV/atom
symmetry: Cmmm (65)

Name the most stable of them. version b.

Version a
Crystalline Ho5Tl2Bi2 at its relaxed geometry, computed with GGA-PBE. Values from VASP.

Cell and atoms, written as Quantum ESPRESSO input:
```
&SYSTEM
  ibrav = 0, nat = 18, ntyp = 3
/
ATOMIC_SPECIES
Ho 164.93 Ho.upf
Tl 204.38 Tl.upf
Bi 208.98 Bi.upf
CELL_PARAMETERS angstrom
6.467 0.000 0.000
0.000 8.897 0.000
-3.234 -4.448 9.277
ATOMIC_POSITIONS crystal
Ho 0.273 0.640 0.833
Ho 0.727 0.808 0.167
Ho 0.059 0.140 0.833
Ho 0.941 0.308 0.167
Ho 0.265 0.012 0.319
Ho 0.735 0.693 0.681
Ho 0.554 0.512 0.319
Ho 0.446 0.193 0.681
Ho 0.142 0.760 0.500
Ho 0.858 0.260 0.500
Tl 0.150 0.623 0.160
Tl 0.850 0.463 0.840
Tl 0.510 0.123 0.160
Tl 0.490 0.963 0.840
Bi 0.000 0.929 0.000
Bi 0.500 0.429 0.000
Bi 0.317 0.409 0.500
Bi 0.683 0.909 0.500
```

Summary:
volume: 29.66 Å³ per atom
N(E_F): 0.94 states/eV/atom
symmetry: Ima2 (46)

Version b
Crystalline Ho5Tl2Bi2 at its relaxed geometry, computed with GGA-PBE. Values from VASP.

Cell and atoms, written as Quantum ESPRESSO input:
```
&SYSTEM
  ibrav = 0, nat = 18, ntyp = 3
/
ATOMIC_SPECIES
Ho 164.93 Ho.upf
Tl 204.38 Tl.upf
Bi 208.98 Bi.upf
CELL_PARAMETERS angstrom
-2.798 5.430 5.465
-5.639 2.514 -5.384
-2.215 -6.632 5.455
ATOMIC_POSITIONS crystal
Ho 0.000 0.000 0.000
Ho 0.500 0.500 0.000
Ho 0.835 0.800 0.266
Ho 0.165 0.466 0.266
Ho 0.335 0.966 0.266
Ho 0.665 0.300 0.266
Ho 0.165 0.200 0.734
Ho 0.835 0.534 0.734
Ho 0.665 0.034 0.734
Ho 0.335 0.700 0.734
Tl 0.634 0.865 0.000
Tl 0.366 0.135 0.000
Tl 0.134 0.635 0.000
Tl 0.866 0.365 0.000
Bi 0.000 0.205 0.410
Bi 0.500 0.705 0.410
Bi 0.000 0.795 0.590
Bi 0.500 0.295 0.590
```

Summary:
volume: 29.34 Å³ per atom
N(E_F): 0.75 states/eV/atom
symmetry: Cmce (64)

Name the most stable of them. version b.

Version a
Crystalline HoTm2Bi at its relaxed geometry, computed with GGA-PBE. Values from VASP.

Cell and atoms, written as Quantum ESPRESSO input:
```
&SYSTEM
  ibrav = 0, nat = 8, ntyp = 3
/
ATOMIC_SPECIES
Ho 164.93 Ho.upf
Tm 168.93 Tm.upf
Bi 208.98 Bi.upf
CELL_PARAMETERS angstrom
4.609 0.000 -0.019
0.000 4.562 0.000
-2.258 0.000 11.212
ATOMIC_POSITIONS crystal
Ho 0.691 0.750 0.382
Ho 0.309 0.250 0.618
Tm 0.559 0.250 0.118
Tm 0.441 0.750 0.882
Tm 0.058 0.750 0.117
Tm 0.942 0.250 0.883
Bi 0.168 0.250 0.335
Bi 0.832 0.750 0.665
```

Summary:
volume: 29.44 Å³ per atom
N(E_F): 1.22 states/eV/atom
symmetry: Cmcm (63)

Version b
Crystalline HoTm2Bi at its relaxed geometry, computed with GGA-PBE. Values from VASP.

Cell and atoms, written as Quantum ESPRESSO input:
```
&SYSTEM
  ibrav = 0, nat = 4, ntyp = 3
/
ATOMIC_SPECIES
Tm 168.93 Tm.upf
Bi 208.98 Bi.upf
Ho 164.93 Ho.upf
CELL_PARAMETERS angstrom
3.511 0.000 0.000
1.756 3.041 0.000
1.756 1.014 11.862
ATOMIC_POSITIONS crystal
Tm 0.088 0.088 0.736
Tm 0.912 0.912 0.264
Bi 0.000 0.000 0.000
Ho 0.500 0.500 0.500
```

Summary:
volume: 31.66 Å³ per atom
N(E_F): 1.00 states/eV/atom
symmetry: R-3m (166)

Version c
Crystalline HoTm2Bi at its relaxed geometry, computed with GGA-PBE. Values from VASP.

Cell and atoms, written as Quantum ESPRESSO input:
```
&SYSTEM
  ibrav = 0, nat = 4, ntyp = 3
/
ATOMIC_SPECIES
Tm 168.93 Tm.upf
Bi 208.98 Bi.upf
Ho 164.93 Ho.upf
CELL_PARAMETERS angstrom
4.829 0.000 0.000
0.000 4.820 0.000
0.000 0.000 4.820
ATOMIC_POSITIONS crystal
Tm 0.000 0.000 0.500
Tm 0.000 0.500 0.000
Bi 0.500 0.000 0.000
Ho 0.500 0.500 0.500
```

Summary:
volume: 28.05 Å³ per atom
N(E_F): 1.63 states/eV/atom
symmetry: P4/mmm (123)

Version d
Crystalline HoTm2Bi at its relaxed geometry, computed with GGA-PBE. Values from VASP.

Cell and atoms, written as Quantum ESPRESSO input:
```
&SYSTEM
  ibrav = 0, nat = 4, ntyp = 3
/
ATOMIC_SPECIES
Ho 164.93 Ho.upf
Tm 168.93 Tm.upf
Bi 208.98 Bi.upf
CELL_PARAMETERS angstrom
-1.694 2.659 -1.773
-3.509 0.632 0.611
0.845 7.917 7.376
ATOMIC_POSITIONS crystal
Ho 0.500 0.500 0.501
Tm 0.081 0.081 0.758
Tm 0.253 0.253 0.241
Bi 0.667 0.667 0.000
```

Summary:
volume: 30.17 Å³ per atom
N(E_F): 1.38 states/eV/atom
symmetry: R3m (160)

Name the most stable of them. version a.

Version a
Crystalline HoTm3Bi4 at its relaxed geometry, computed with GGA-PBE. Values from VASP.

Cell and atoms, written as Quantum ESPRESSO input:
```
&SYSTEM
  ibrav = 0, nat = 8, ntyp = 3
/
ATOMIC_SPECIES
Tm 168.93 Tm.upf
Ho 164.93 Ho.upf
Bi 208.98 Bi.upf
CELL_PARAMETERS angstrom
6.271 0.000 0.000
0.000 6.271 0.000
0.000 0.000 6.271
ATOMIC_POSITIONS crystal
Tm 0.000 0.500 0.500
Tm 0.500 0.000 0.500
Tm 0.500 0.500 0.000
Ho 0.000 0.000 0.000
Bi 0.500 0.000 0.000
Bi 0.000 0.500 0.000
Bi 0.000 0.000 0.500
Bi 0.500 0.500 0.500
```

Summary:
volume: 30.82 Å³ per atom
N(E_F): 0.07 states/eV/atom
symmetry: Pm-3m (221)

Version b
Crystalline HoTm3Bi4 at its relaxed geometry, computed with GGA-PBE. Values from VASP.

Cell and atoms, written as Quantum ESPRESSO input:
```
&SYSTEM
  ibrav = 0, nat = 8, ntyp = 3
/
ATOMIC_SPECIES
Ho 164.93 Ho.upf
Tm 168.93 Tm.upf
Bi 208.98 Bi.upf
CELL_PARAMETERS angstrom
4.440 0.000 0.000
0.000 7.684 -0.072
0.000 -2.491 7.269
ATOMIC_POSITIONS crystal
Ho 0.500 0.000 0.000
Tm 0.000 0.000 0.500
Tm 0.500 0.500 0.500
Tm 0.000 0.500 0.000
Bi 0.000 0.252 0.252
Bi 0.500 0.749 0.251
Bi 0.000 0.748 0.748
Bi 0.500 0.251 0.749
```

Summary:
volume: 30.90 Å³ per atom
N(E_F): 0.16 states/eV/atom
symmetry: Cmmm (65)

Name the most stable of them. version a.